## one
DFT (PBE with a Hubbard U) results for an optimized crystal structure of Li2TiMn3O8.

```
Li2TiMn3O8
1.0
2.9014 -5.2726 0.0000
2.9014 5.2726 0.0000
0.0000 0.0000 9.5330
O Li Mn Ti
16 4 6 2
Direct
0.0273 0.9727 0.3426 O
0.8518 0.6397 0.5891 O
0.5295 0.0399 0.8437 O
0.4901 0.5099 0.3037 O
0.4705 0.9601 0.3437 O
0.5099 0.4901 0.8037 O
0.9601 0.4705 0.8437 O
0.6518 0.3482 0.0976 O
0.3603 0.1482 0.5891 O
0.9727 0.0273 0.8426 O
0.8342 0.1658 0.6125 O
0.3482 0.6518 0.5976 O
0.0399 0.5295 0.3437 O
0.6397 0.8518 0.0891 O
0.1658 0.8342 0.1125 O
0.1482 0.3603 0.0891 O
0.8445 0.1555 0.3975 Li
0.5121 0.4879 0.4931 Li
0.4879 0.5121 0.9931 Li
0.1555 0.8445 0.8975 Li
0.3248 0.6752 0.2142 Mn
0.6752 0.3248 0.7142 Mn
0.6716 0.8350 0.7160 Mn
0.1650 0.3284 0.7160 Mn
0.3284 0.1650 0.2160 Mn
0.8350 0.6716 0.2160 Mn
0.1846 0.8154 0.4939 Ti
0.8154 0.1846 0.9939 Ti
```

The calculation puts the theoretical density at 4.037 Mg/m³. As for the symmetry: Cmc2_1. The calculation puts the volume at 291.67 Å³/cell.

***

## two
DFT (PBE with a Hubbard U) results for an optimized crystal structure of Li2TiMn3O8.

```
Li2TiMn3O8
1.0
-0.7370 4.9577 -3.1811
-5.3299 1.1712 -2.3371
-3.2386 4.4321 2.2604
Li O Mn Ti
2 8 3 1
Direct
0.1236 0.1236 0.1236 Li
0.8764 0.8764 0.8764 Li
0.2588 0.2588 0.2588 O
0.7070 0.2648 0.2648 O
0.2648 0.2648 0.7070 O
0.7352 0.2930 0.7352 O
0.7412 0.7412 0.7412 O
0.2930 0.7352 0.7352 O
0.2648 0.7070 0.2648 O
0.7352 0.7352 0.2930 O
0.0000 0.5000 0.5000 Mn
0.5000 0.5000 0.0000 Mn
0.5000 0.0000 0.5000 Mn
0.5000 0.5000 0.5000 Ti
```

The calculation puts the theoretical density at 3.906 Mg/m³. As for the symmetry: R-3m. The calculation puts the volume at 150.75 Å³/cell.

***

Most favorable first, least favorable last: one, two

***

## one
DFT (PBE with a Hubbard U) results for an optimized crystal structure of Li2TiMn2O5.

```
Li2TiMn2O5
1.0
7.2684 2.5954 -0.0383
-7.2684 2.5954 -0.0383
0.0000 1.9763 4.8207
O Mn Li Ti
10 4 4 2
Direct
0.8551 0.6644 0.7453 O
0.6480 0.8480 0.7449 O
0.1520 0.3520 0.2551 O
0.7682 0.7661 0.2643 O
0.2339 0.2318 0.7357 O
0.9577 0.5489 0.2431 O
0.3356 0.1449 0.2547 O
0.5316 0.9342 0.2268 O
0.4511 0.0423 0.7569 O
0.0658 0.4684 0.7732 O
0.6978 0.3022 0.0000 Mn
0.6029 0.3971 0.5000 Mn
0.3979 0.6021 0.5000 Mn
0.1026 0.8974 0.0000 Mn
0.8001 0.1999 0.5000 Li
0.2027 0.7973 0.5000 Li
0.4993 0.5007 0.0000 Li
0.8979 0.1021 0.0000 Li
0.2999 0.7001 0.0000 Ti
0.9999 0.0001 0.5000 Ti
```

The calculation puts the theoretical density at 4.567 Mg/m³. As for the symmetry: C2. The calculation puts the volume at 182.98 Å³/cell.

***

## two
DFT (PBE with a Hubbard U) results for an optimized crystal structure of Li2TiMn2O5.

```
Li2TiMn2O5
1.0
8.0637 -0.0014 0.0001
-6.3119 5.0184 0.0001
0.6135 1.7570 4.9962
Mn O Li Ti
4 10 4 2
Direct
0.4021 0.5979 0.5000 Mn
0.1971 0.8029 0.5000 Mn
0.9019 0.0981 0.0000 Mn
0.2980 0.7020 0.0000 Mn
0.8418 0.6370 0.7604 O
0.9224 0.5217 0.2245 O
0.0396 0.4493 0.7588 O
0.1539 0.3303 0.2609 O
0.7842 0.7774 0.2797 O
0.4783 0.0776 0.7755 O
0.6697 0.8461 0.7391 O
0.2226 0.2158 0.7203 O
0.5507 0.9604 0.2412 O
0.3630 0.1582 0.2396 O
0.7890 0.2110 0.5000 Li
0.6013 0.3987 0.5000 Li
0.5045 0.4955 0.0000 Li
0.0990 0.9010 0.0000 Li
0.6869 0.3131 0.0000 Ti
0.9942 0.0058 0.5000 Ti
```

The calculation puts the theoretical density at 4.134 Mg/m³. As for the symmetry: C2. The calculation puts the volume at 202.13 Å³/cell.

***

Most favorable first, least favorable last: two, one

***

## one
DFT (PBE with a Hubbard U) results for an optimized crystal structure of Li2MnV3O8.

```
Li2MnV3O8
1.0
-4.8055 -3.6351 -0.0036
0.0949 -5.2054 -3.0334
0.1312 -5.2593 2.9378
O Li V Mn
8 2 3 1
Direct
0.7391 0.7391 0.7391 O
0.2659 0.7082 0.2357 O
0.7606 0.7329 0.2955 O
0.2955 0.7606 0.7330 O
0.7329 0.2954 0.7606 O
0.2592 0.2592 0.2592 O
0.2357 0.2659 0.7082 O
0.7082 0.2357 0.2659 O
0.5011 0.5011 0.5011 Li
0.1206 0.1206 0.1206 Li
0.0064 0.4908 0.5050 V
0.4908 0.5050 0.0064 V
0.5051 0.0064 0.4908 V
0.8789 0.8789 0.8789 Mn
```

The calculation puts the theoretical density at 3.804 Mg/m³. As for the symmetry: R3. The calculation puts the volume at 152.61 Å³/cell.

***

## two
DFT (PBE with a Hubbard U) results for an optimized crystal structure of Li2MnV3O8.

```
Li2MnV3O8
1.0
-1.4952 -5.7556 -0.0026
6.1293 1.4848 -8.2295
4.3189 1.9487 3.6209
O Mn V Li
16 2 6 4
Direct
0.2775 0.1238 0.4094 O
0.7462 0.3779 0.6507 O
0.2494 0.3957 0.1237 O
0.7225 0.8762 0.5906 O
0.7175 0.1221 0.8492 O
0.2825 0.8779 0.1508 O
0.2698 0.8956 0.6237 O
0.7443 0.3761 0.0905 O
0.7273 0.8764 0.1462 O
0.7506 0.6043 0.8763 O
0.2727 0.1236 0.8538 O
0.2954 0.3764 0.6462 O
0.2557 0.6239 0.9095 O
0.7301 0.1044 0.3763 O
0.2538 0.6221 0.3493 O
0.7046 0.6236 0.3538 O
0.5090 0.2500 0.7499 Mn
0.4910 0.7500 0.2501 Mn
0.5000 0.5000 0.0000 V
0.0000 0.0000 0.5000 V
0.0000 0.5000 0.0000 V
0.5000 0.5000 0.5000 V
0.5000 0.0000 0.0000 V
0.5000 0.0000 0.5000 V
0.1306 0.1904 0.0616 Li
0.8694 0.8096 0.9384 Li
0.1214 0.6903 0.5617 Li
0.8786 0.3097 0.4383 Li
```

The calculation puts the theoretical density at 3.867 Mg/m³. As for the symmetry: C2/c. The calculation puts the volume at 300.27 Å³/cell.

***

Most favorable first, least favorable last: one, two

***

## one
DFT (PBE with a Hubbard U) results for an optimized crystal structure of Li2MnV3O8.

```
Li2MnV3O8
1.0
5.9462 -0.0005 0.0009
0.0010 10.3279 -0.0120
2.9723 -1.6672 4.8908
O Li V Mn
16 4 6 2
Direct
0.1135 0.6353 0.7916 O
0.3687 0.3574 0.2469 O
0.3907 0.8622 0.7512 O
0.1359 0.1430 0.7518 O
0.1006 0.6345 0.2450 O
0.5949 0.1353 0.7916 O
0.9097 0.3630 0.2100 O
0.1545 0.1345 0.2450 O
0.3582 0.3622 0.7511 O
0.6124 0.6431 0.7518 O
0.9051 0.3670 0.7592 O
0.8843 0.8574 0.2470 O
0.6523 0.6366 0.2455 O
0.6022 0.1366 0.2456 O
0.3803 0.8631 0.2100 O
0.8357 0.8670 0.7592 O
0.8060 0.0642 0.3815 Li
0.1836 0.9364 0.6196 Li
0.3125 0.5642 0.3815 Li
0.6968 0.4364 0.6196 Li
0.7488 0.7485 0.0004 V
0.4935 0.9998 0.9996 V
0.2520 0.2522 0.9985 V
0.0068 0.4998 0.9996 V
0.2494 0.7522 0.9986 V
0.7509 0.2485 0.0004 V
0.2539 0.2498 0.4992 Mn
0.7469 0.7498 0.4992 Mn
```

The calculation puts the theoretical density at 3.868 Mg/m³. As for the symmetry: Cc. The calculation puts the volume at 300.20 Å³/cell.

***

## two
DFT (PBE with a Hubbard U) results for an optimized crystal structure of Li2MnV3O8.

```
Li2MnV3O8
1.0
3.1016 1.6671 -4.7714
-5.0751 2.7550 1.3486
5.0133 6.5242 5.5384
O Mn V Li
16 2 6 4
Direct
0.3107 0.1404 0.1090 O
0.3333 0.6667 0.1028 O
0.8596 0.1703 0.1090 O
0.9667 0.4985 0.8260 O
0.6667 0.3333 0.6028 O
0.1404 0.3107 0.6090 O
0.0333 0.5318 0.3260 O
0.4985 0.9667 0.3260 O
0.5318 0.0333 0.8260 O
0.4682 0.5015 0.3260 O
0.1703 0.8596 0.6090 O
0.0000 0.0000 0.3135 O
0.0000 0.0000 0.8135 O
0.8297 0.6893 0.1090 O
0.5015 0.4682 0.8260 O
0.6893 0.8297 0.6090 O
0.3333 0.6667 0.4976 Mn
0.6667 0.3333 0.9976 Mn
0.3379 0.1823 0.7144 V
0.6621 0.8444 0.2144 V
0.8177 0.1556 0.7144 V
0.1823 0.3379 0.2144 V
0.8444 0.6621 0.7144 V
0.1556 0.8177 0.2144 V
0.3333 0.6667 0.8952 Li
0.0000 0.0000 0.9967 Li
0.6667 0.3333 0.3952 Li
0.0000 0.0000 0.4967 Li
```

The calculation puts the theoretical density at 3.844 Mg/m³. As for the symmetry: P31c. The calculation puts the volume at 302.05 Å³/cell.

***

## three
DFT (PBE with a Hubbard U) results for an optimized crystal structure of Li2MnV3O8.

```
Li2MnV3O8
1.0
-2.9667 2.5514 7.1589
2.7220 -7.1716 3.6840
7.6707 3.8411 1.8098
O V Li Mn
32 12 8 4
Direct
0.1131 0.6158 0.3981 O
0.8907 0.6107 0.6246 O
0.3907 0.8893 0.3754 O
0.6131 0.8842 0.6019 O
0.8545 0.6378 0.1278 O
0.8560 0.8660 0.3607 O
0.3869 0.3842 0.8981 O
0.1166 0.8892 0.1043 O
0.1440 0.3660 0.1393 O
0.6455 0.3622 0.6278 O
0.3834 0.1108 0.6043 O
0.8652 0.3595 0.8562 O
0.6093 0.3893 0.1246 O
0.1348 0.8595 0.6438 O
0.6166 0.6108 0.8957 O
0.6273 0.8598 0.1389 O
0.6100 0.1103 0.3807 O
0.3545 0.8622 0.8722 O
0.8869 0.1158 0.1019 O
0.1093 0.1107 0.8754 O
0.8727 0.1402 0.6389 O
0.6440 0.1340 0.8607 O
0.3900 0.6103 0.1193 O
0.3652 0.1405 0.1438 O
0.8834 0.3892 0.3957 O
0.6348 0.6405 0.3562 O
0.8900 0.8897 0.8807 O
0.1273 0.6402 0.8611 O
0.3727 0.3598 0.3611 O
0.3560 0.6340 0.6393 O
0.1455 0.1378 0.3722 O
0.1100 0.3897 0.6193 O
0.1273 0.3783 0.3804 V
0.1217 0.6261 0.6327 V
0.3727 0.6217 0.8804 V
0.6217 0.8739 0.3673 V
0.3783 0.3739 0.1327 V
0.6273 0.1217 0.6196 V
0.8727 0.8783 0.1196 V
0.6269 0.6249 0.1217 V
0.3731 0.1249 0.3783 V
0.8731 0.3751 0.6217 V
0.1269 0.8751 0.8783 V
0.8783 0.1261 0.8673 V
0.9973 0.4976 0.9973 Li
0.2536 0.2497 0.7487 Li
0.5027 0.5024 0.4973 Li
0.7536 0.2503 0.2513 Li
0.7464 0.7497 0.7513 Li
0.4973 0.0024 0.0027 Li
0.2464 0.7503 0.2487 Li
0.0027 0.9976 0.5027 Li
0.1260 0.1273 0.1235 Mn
0.6260 0.3727 0.8765 Mn
0.3740 0.8727 0.6235 Mn
0.8740 0.6273 0.3765 Mn
```

The calculation puts the theoretical density at 3.815 Mg/m³. As for the symmetry: P2_12_12_1. The calculation puts the volume at 608.69 Å³/cell.

***

Most favorable first, least favorable last: two, three, one

***

## one
DFT (PBE with a Hubbard U) results for an optimized crystal structure of Li2MnV3O8.

```
Li2MnV3O8
1.0
5.9033 -0.0044 0.0113
2.9092 5.3144 0.0057
3.1139 2.0528 4.8629
O Li V Mn
8 2 3 1
Direct
0.2654 0.2653 0.2563 O
0.7226 0.2390 0.2511 O
0.2702 0.2538 0.7054 O
0.7298 0.7462 0.2946 O
0.7346 0.7347 0.7436 O
0.2774 0.7610 0.7490 O
0.2861 0.7052 0.2473 O
0.7139 0.2948 0.7527 O
0.8586 0.8854 0.8852 Li
0.1415 0.1146 0.1148 Li
0.5000 0.0000 0.5000 V
0.0000 0.5000 0.5000 V
0.5000 0.5000 0.0000 V
0.5000 0.5000 0.5000 Mn
```

The calculation puts the theoretical density at 3.809 Mg/m³. As for the symmetry: P-1. The calculation puts the volume at 152.43 Å³/cell.

***

## two
DFT (PBE with a Hubbard U) results for an optimized crystal structure of Li2MnV3O8.

```
Li2MnV3O8
1.0
-0.8396 -3.1016 5.0308
2.7690 -5.2306 0.7790
9.1410 4.9979 1.0668
Li O V Mn
4 16 6 2
Direct
0.1204 0.9398 0.1807 Li
0.5014 0.2493 0.2521 Li
0.1203 0.4398 0.6806 Li
0.5014 0.7493 0.7520 Li
0.2591 0.8704 0.3886 O
0.7603 0.9007 0.3946 O
0.7081 0.6604 0.6049 O
0.7391 0.1305 0.6086 O
0.2954 0.3390 0.3946 O
0.2954 0.8656 0.8946 O
0.7336 0.3656 0.3946 O
0.2591 0.3704 0.8887 O
0.2653 0.6314 0.6049 O
0.2363 0.1604 0.1049 O
0.7082 0.1314 0.1049 O
0.7391 0.6305 0.1086 O
0.2653 0.6033 0.1049 O
0.2362 0.1033 0.6049 O
0.7603 0.8390 0.8946 O
0.7337 0.4007 0.8946 O
0.0065 0.4890 0.0011 V
0.5055 0.9892 0.5011 V
0.5056 0.0054 0.0011 V
0.0065 0.0044 0.5011 V
0.4902 0.5053 0.5011 V
0.4902 0.5045 0.0012 V
0.8788 0.0606 0.8181 Mn
0.8788 0.5606 0.3181 Mn
```

The calculation puts the theoretical density at 3.805 Mg/m³. As for the symmetry: R3c. The calculation puts the volume at 305.19 Å³/cell.

***

Most favorable first, least favorable last: two, one

***

## one
DFT (PBE with a Hubbard U) results for an optimized crystal structure of Li2MnV3O8.

```
Li2MnV3O8
1.0
-0.8619 -4.0486 -4.3019
3.4543 -4.9288 -0.1961
-8.9126 -2.8187 4.4382
O Li V Mn
16 4 6 2
Direct
0.6391 0.2092 0.1324 O
0.3824 0.2163 0.8688 O
0.1072 0.2125 0.6185 O
0.1020 0.7762 0.6296 O
0.9014 0.2162 0.3688 O
0.1803 0.2125 0.1185 O
0.8766 0.7982 0.3735 O
0.3375 0.7811 0.3740 O
0.9027 0.2108 0.8539 O
0.6218 0.7762 0.1296 O
0.1230 0.7897 0.1477 O
0.8251 0.7983 0.8735 O
0.3814 0.7811 0.8740 O
0.3866 0.2108 0.3539 O
0.5873 0.7898 0.6477 O
0.6517 0.2092 0.6324 O
0.8263 0.3614 0.0600 Li
0.7408 0.5042 0.7502 Li
0.3123 0.3614 0.5601 Li
0.2549 0.5042 0.2503 Li
0.2338 0.9984 0.7524 V
0.7380 0.0071 0.7456 V
0.7550 0.0071 0.2456 V
0.4943 0.9994 0.0034 V
0.0062 0.9993 0.5035 V
0.2679 0.9984 0.2525 V
0.6880 0.6355 0.4399 Mn
0.1765 0.6355 0.9399 Mn
```

The calculation puts the theoretical density at 3.805 Mg/m³. As for the symmetry: Cc. The calculation puts the volume at 305.19 Å³/cell.

***

## two
DFT (PBE with a Hubbard U) results for an optimized crystal structure of Li2MnV3O8.

```
Li2MnV3O8
1.0
6.3731 0.0064 -0.0328
5.1130 3.8044 -0.0328
1.8060 0.5992 6.3588
O V Li Mn
8 3 2 1
Direct
0.5613 0.5613 0.6353 O
0.7653 0.7653 0.3526 O
0.4393 0.4393 0.3656 O
0.3641 0.3641 0.9826 O
0.2278 0.2278 0.6762 O
0.8816 0.8816 0.6763 O
0.1183 0.1183 0.3204 O
0.6491 0.6491 0.0062 O
0.3911 0.3911 0.7202 V
0.6083 0.6083 0.2745 V
0.7100 0.7100 0.6934 V
0.9369 0.9369 0.3604 Li
0.0582 0.0582 0.6385 Li
0.2885 0.2885 0.2979 Mn
```

The calculation puts the theoretical density at 3.765 Mg/m³. As for the symmetry: Cm. The calculation puts the volume at 154.22 Å³/cell.

***

Most favorable first, least favorable last: one, two